[1]
The following is a DFT calculation (SCAN) of TaAlCd at its PBEsol-relaxed geometry.

abc: 4.5598 4.5598 2.8881
angles: 90.00 90.00 120.00
Closest atoms and distances in Å follow each position.
Space group P-6m2 (No. 187)
Asymmetric unit:
Ta  0.0000  0.0000  0.0000 x1  2 Ta 2.89, 6 Al 3.00, 6 Cd 3.00
Al  0.3333  0.6667  0.5000 x1  3 Cd 2.63, 2 Al 2.89
Cd  0.6667  0.3333  0.5000 x1  3 Al 2.63, 2 Cd 2.89

Calculated values
ΔE_f, eV per atom: 0.1692
Raw total energy, eV/cell: -104.24
Total moment, μB/atom: 0.000
Crystal system: hexagonal
Fermi-level density of states, states/eV per cell: 1.75
ΔE to the lowest computed polymorph, meV per atom: 0.0

[2]
The following is a DFT calculation (SCAN) of Ca3Ta2O8 at its PBEsol-relaxed geometry.

abc: 9.8960 8.7674 9.0862
angles: 90.00 113.29 90.00
Closest atoms and distances in Å follow each position.
Space group C2/c (No. 15)
Asymmetric unit:
Ca  0.0000  0.2220  0.2500 x4  6 O 2.20-2.42
Ca  0.1698  0.0661  0.0014 x8  5 O 2.23-2.45
Ta  0.0758  0.3572  0.6209 x8  6 O 1.91-2.10
O  0.0187  0.4209  0.1118 x8  2 Ta 2.02, 1 Ca 2.20
O  0.0603  0.1578  0.5277 x8  1 Ta 1.92
O  0.1233  0.3095  0.8571 x8  2 Ta 2.05-2.10, 1 Ca 2.23
O  0.2212  0.0939  0.3143 x8  1 Ta 1.91

Calculated values
Formation energy (no corrections), eV/atom: -3.26
Raw total energy, eV/cell: -1017.76
Total moment, μB/atom: 0.000
Crystal system: monoclinic
Fermi-level density of states, states/eV per cell: 0.00
ΔE to the lowest computed polymorph, meV per atom: 0.0

[3]
The following is a DFT calculation (SCAN) of Ba2SrBr at its PBEsol-relaxed geometry.

abc: 8.4050 10.3363 4.1914
angles: 90.00 90.00 90.00
Closest atoms and distances in Å follow each position.
Space group Cmmm (No. 65)
Asymmetric unit:
Ba  0.2500  0.2500  0.0000 x4  4 Sr 3.94, 4 Br 3.94, 4 Ba 4.19-4.20
Sr  0.0000  0.0000  0.5000 x2  8 Ba 3.94, 2 Sr 4.19, 2 Br 4.20
Br  0.0000  0.5000  0.5000 x2  8 Ba 3.94, 2 Br 4.19, 2 Sr 4.20

Calculated values
Formation energy (no corrections), eV/atom: -0.51
Raw total energy, eV/cell: -245.76
Total moment, μB/atom: 0.000
Crystal system: orthorhombic
Fermi-level density of states, states/eV per cell: 8.47
ΔE to the lowest computed polymorph, meV per atom: 375.8

[4]
The following is a DFT calculation (SCAN) of LaReNi2Pb at its PBEsol-relaxed geometry.

abc: 4.6696 4.6696 5.0991
angles: 90.00 90.00 90.00
Closest atoms and distances in Å follow each position.
Space group P4/mmm (No. 123)
Asymmetric unit:
La  0.0000  0.0000  0.0000 x1  4 Re 3.30, 8 Ni 3.46
Re  0.5000  0.5000  0.0000 x1  2 Pb 2.55
Ni  0.0000  0.5000  0.5000 x2  2 Pb 2.33
Pb  0.5000  0.5000  0.5000 x1  4 Ni 2.33, 2 Re 2.55

Calculated values
ΔE_f, eV per atom: 1.0441
Raw total energy, eV/cell: -217.11
Total moment, μB/atom: 0.000
Crystal system: tetragonal
Fermi-level density of states, states/eV per cell: 1.98

[5]
The following is a DFT calculation (SCAN) of Mg5Mn at its PBEsol-relaxed geometry.

abc: 8.0190 8.0190 8.0190
angles: 90.00 90.00 90.00
Closest atoms and distances in Å follow each position.
Space group F-43m (No. 216)
Asymmetric unit:
Mg  0.0000  0.0000  0.0000 x4  12 Mg 3.33, 4 Mn 3.47
Mg  0.1244  0.1244  0.3756 x16  6 Mg 2.82-2.85
Mn  0.2500  0.2500  0.7500 x4  16 Mg 3.32-3.47

Calculated values
ΔE_f, eV per atom: 0.1584
Raw total energy, eV/cell: -168.69
Total moment, μB/atom: 0.695
Crystal system: cubic
Fermi-level density of states, states/eV per cell: 11.67

[6]
The following is a DFT calculation (SCAN) of NaSiGe2Pt at its PBEsol-relaxed geometry.

abc: 4.7494 4.7494 4.7072
angles: 90.00 90.00 90.00
Closest atoms and distances in Å follow each position.
Space group P4/mmm (No. 123)
Asymmetric unit:
Na  0.0000  0.0000  0.0000 x1  2 Pt 2.35, 4 Ge 2.37
Si  0.5000  0.5000  0.5000 x1  8 Ge 3.34, 4 Pt 3.36
Ge  0.0000  0.5000  0.0000 x2  2 Na 2.37
Pt  0.0000  0.0000  0.5000 x1  2 Na 2.35

Calculated values
Formation energy (no corrections), eV/atom: 1.45
Raw total energy, eV/cell: -115.34
Total moment, μB/atom: 0.000
Crystal system: tetragonal
Fermi-level density of states, states/eV per cell: 2.16

[7]
The following is a DFT calculation (SCAN) of Y2OsPb at its PBEsol-relaxed geometry.

abc: 3.3979 3.3979 29.2172
angles: 90.00 90.00 120.00
Closest atoms and distances in Å follow each position.
Space group R3m (No. 160, hexagonal axes)
Asymmetric unit:
Y  0.0000  0.0000  0.0000 x3  3 Pb 3.29, 9 Y 3.40-3.63
Y  0.0000  0.0000  0.2289 x3  3 Os 2.83
Os  0.0000  0.0000  0.4927 x3  3 Pb 2.82, 3 Y 2.83
Pb  0.0000  0.0000  0.7569 x3  3 Os 2.82

Calculated values
ΔE_f, eV per atom: 0.3303
Raw total energy, eV/cell: -606.08
Total moment, μB/atom: 0.241
Crystal system: trigonal
Fermi-level density of states, states/eV per cell: 7.28

[8]
The following is a DFT calculation (SCAN) of SrPW2 at its PBEsol-relaxed geometry.

abc: 3.2356 3.2356 7.2814
angles: 90.00 90.00 90.00
Closest atoms and distances in Å follow each position.
Space group P4mm (No. 99)
Asymmetric unit:
Sr  0.0000  0.0000  0.0000 x1  4 P 3.17, 4 Sr 3.24, 5 W 3.37-3.44
P  0.5000  0.5000  0.6994 x1  5 W 2.61
W  0.0000  0.0000  0.5281 x1  4 P 2.61, 4 W 2.66
W  0.5000  0.5000  0.3407 x1  1 P 2.61, 4 W 2.66

Calculated values
ΔE_f, eV per atom: 0.2458
Raw total energy, eV/cell: -171.07
Total moment, μB/atom: 0.114
Crystal system: tetragonal
Fermi-level density of states, states/eV per cell: 3.23

What is the total moment in the sixth record?
0.000 μB/atom

Among the records above, which one has the lowest raw total energy?
Ca3Ta2O8

Repeat the third record exactly.
The following is a DFT calculation (SCAN) of Ba2SrBr at its PBEsol-relaxed geometry.

abc: 8.4050 10.3363 4.1914
angles: 90.00 90.00 90.00
Closest atoms and distances in Å follow each position.
Space group Cmmm (No. 65)
Asymmetric unit:
Ba  0.2500  0.2500  0.0000 x4  4 Sr 3.94, 4 Br 3.94, 4 Ba 4.19-4.20
Sr  0.0000  0.0000  0.5000 x2  8 Ba 3.94, 2 Sr 4.19, 2 Br 4.20
Br  0.0000  0.5000  0.5000 x2  8 Ba 3.94, 2 Br 4.19, 2 Sr 4.20

Calculated values
Formation energy (no corrections), eV/atom: -0.51
Raw total energy, eV/cell: -245.76
Total moment, μB/atom: 0.000
Crystal system: orthorhombic
Fermi-level density of states, states/eV per cell: 8.47
ΔE to the lowest computed polymorph, meV per atom: 375.8